A geometry-optimized Ce2SmCd structure. Source: Alexandria via LeMat-Bulk, functional PBE-GGA.

Calculated values
Calculated density, g cm⁻³: 7.97
ΔE_f, kJ/mol of formula units: -7
Energy relative to the lowest polymorph listed for this composition, meV/atom: 0

abc: 4.6910 4.6910 5.1417
angles: 90.00 90.00 90.00
Space group P4/mmm (No. 123)
Inequivalent atoms, fractional coordinates:
1 Ce 0.0000 0.5000 0.0000 [2 per cell]
2 Sm 0.0000 0.0000 0.5000 [1 per cell]
3 Cd 0.5000 0.5000 0.5000 [1 per cell]

=====

A geometry-optimized YBO structure. Source: Alexandria via LeMat-Bulk, functional PBE-GGA.

Calculated values
Calculated density, g cm⁻³: 4.93
ΔE_f (raw), eV per atom: -1.875
Energy relative to the lowest polymorph listed for this composition, meV/atom: 0

abc: 3.2066 3.2799 14.8137
angles: 90.00 90.00 90.00
Space group Immm (No. 71)
Inequivalent atoms, fractional coordinates:
1 Y 0.0000 0.0000 0.1501 [4 per cell]
2 B 0.0000 0.0000 0.5000 [2 per cell]
3 B 0.0000 0.5000 0.0000 [2 per cell]
4 O 0.0000 0.0000 0.3103 [4 per cell]

=====

A geometry-optimized HoCo4Os structure. Source: Alexandria via LeMat-Bulk, functional PBE-GGA.

Calculated values
Calculated density, g cm⁻³: 12.00
ΔE_f, kJ/mol of formula units: 11

abc: 6.8895 6.8895 6.8895
angles: 90.00 90.00 90.00
Space group F-43m (No. 216)
Inequivalent atoms, fractional coordinates:
1 Ho 0.0000 0.0000 0.0000 [4 per cell]
2 Co 0.1250 0.1250 0.3750 [16 per cell]
3 Os 0.2500 0.2500 0.7500 [4 per cell]

=====

A geometry-optimized PAuC2 structure. Source: Alexandria via LeMat-Bulk, functional PBE-GGA.

Calculated values
Calculated density, g cm⁻³: 8.00
ΔE_f, kJ/mol of formula units: 325

abc: 4.0205 4.8619 5.3624
angles: 90.00 93.34 90.00
Space group C2 (No. 5)
Inequivalent atoms, fractional coordinates:
1 P 0.0000 0.0000 0.0000 [2 per cell]
2 Au 0.0000 0.6191 0.5000 [2 per cell]
3 C 0.1227 0.6701 0.8867 [4 per cell]

=====

A geometry-optimized K2ZnCo structure. Source: Alexandria via LeMat-Bulk, functional PBE-GGA.

Calculated values
Calculated density, g cm⁻³: 3.13
ΔE_f, kJ/mol of formula units: 310

abc: 7.5479 7.5479 7.5479
angles: 90.00 90.00 90.00
Space group F-43m (No. 216)
Inequivalent atoms, fractional coordinates:
1 K 0.0000 0.0000 0.0000 [4 per cell]
2 K 0.2500 0.2500 0.2500 [4 per cell]
3 Zn 0.0000 0.0000 0.5000 [4 per cell]
4 Co 0.2500 0.2500 0.7500 [4 per cell]

=====

A geometry-optimized La2PRhW structure. Source: Alexandria via LeMat-Bulk, functional PBE-GGA.

Calculated values
Calculated density, g cm⁻³: 7.35
ΔE_f, kJ/mol of formula units: 147

abc: 5.6192 5.6192 4.2608
angles: 90.00 90.00 90.00
Space group P4/mmm (No. 123)
Inequivalent atoms, fractional coordinates:
1 La 0.0000 0.5000 0.0000 [2 per cell]
2 P 0.0000 0.0000 0.0000 [1 per cell]
3 Rh 0.0000 0.0000 0.5000 [1 per cell]
4 W 0.5000 0.5000 0.5000 [1 per cell]